# AcZn7Ag5 | the Alexandria database | PBE-GGA | optimized geometry
# Energy relative to the elements ... -0.085 eV per atom
# SG ... Imm2 (44)
# Total energy ... -2.1840 eV/atom
# Crystal system ... orthorhombic
data_AcZn7Ag5
_cell_length_a 5.446
_cell_length_b 7.206
_cell_length_c 7.206
_cell_angle_alpha 83.21
_cell_angle_beta 67.80
_cell_angle_gamma 67.80
_space_group_name_H-M_alt 'P 1'
_space_group_IT_number 1
_space_group_name_Hall 'P 1'
loop_
_atom_site_label
_atom_site_fract_x
_atom_site_fract_y
_atom_site_fract_z
Zn1 0.499 0.778 0.225
Zn2 0.993 0.364 0.649
Zn3 0.285 0.215 0.215
Zn4 0.993 0.649 0.364
Zn5 0.365 0.635 0.635
Zn6 0.645 0.355 0.355
Zn7 0.499 0.225 0.778
Ag1 0.997 0.493 0.013
Ag2 0.496 0.013 0.493
Ag3 0.496 0.493 0.013
Ag4 0.997 0.013 0.493
Ag5 0.726 0.774 0.774
Ac1 0.007 0.993 0.993